1.
The following is a GGA-PBE calculation of a relaxed Tl2BS crystal, from the Alexandria database.

Cell and atoms, written as POSCAR:
```
Tl2BS
1.0
0.0000 3.5719 3.5719
3.5719 0.0000 3.5719
3.5719 3.5719 0.0000
Tl B S
2 1 1
Direct
0.2500 0.2500 0.2500
0.7500 0.7500 0.7500
0.0000 0.0000 0.0000
0.5000 0.5000 0.5000
```

Summary:
Space group: Fm-3m (225)
Fermi-level density of states: 2.9 states/eV/cell
Excess energy over the best structure of this formula in the dataset: 482 meV per atom
Raw formation energy: 4.008 eV/f.u.
Calculated density: 8.23 Mg/m³
Electronic total energy: -2.88 eV per atom

2.
The following is a GGA-PBE calculation of a relaxed Tl2B2S crystal, from the Alexandria database.

Cell and atoms, written as POSCAR:
```
Tl2B2S
1.0
-1.4356 1.4356 11.1274
1.4356 -1.4356 11.1274
1.4356 1.4356 -11.1274
Tl B S
2 2 1
Direct
0.1251 0.1251 0.0000
0.8749 0.8749 0.0000
0.2500 0.7500 0.5000
0.7500 0.2500 0.5000
0.5000 0.5000 0.0000
```

Summary:
Space group: I4/mmm (139)
Fermi-level density of states: 1.9 states/eV/cell
Raw formation energy: 5.065 eV/f.u.
Calculated density: 8.37 Mg/m³
Electronic total energy: -3.43 eV per atom

3.
The following is a GGA-PBE calculation of a relaxed TlB2S4 crystal, from the Alexandria database.

Cell and atoms, written as POSCAR:
```
TlB2S4
1.0
6.6396 0.0000 0.0000
1.3133 6.9181 0.0000
2.8268 2.5718 9.7667
Tl B S
2 4 8
Direct
0.0000 0.0000 0.0000
0.1765 0.6732 0.5430
0.0881 0.3367 0.2715
0.5881 0.3368 0.2715
0.5895 0.3368 0.7710
0.5892 0.8364 0.7721
0.0321 0.5766 0.2757
0.1441 0.0968 0.2674
0.3263 0.3780 0.8046
0.3502 0.9048 0.7380
0.5442 0.5804 0.2656
0.6320 0.0933 0.2774
0.8283 0.7678 0.8061
0.8526 0.2954 0.7375
```

Summary:
Space group: P1 (1)
Fermi-level density of states: 2.2 states/eV/cell
Raw formation energy: -0.813 eV/f.u.
Calculated density: 2.62 Mg/m³
Electronic total energy: -4.72 eV per atom

4.
The following is a GGA-PBE calculation of a relaxed TlB2S crystal, from the Alexandria database.

Cell and atoms, written as POSCAR:
```
TlB2S
1.0
-2.5241 2.5241 4.6964
2.5241 -2.5241 4.6964
2.5241 2.5241 -4.6964
Tl B S
2 4 2
Direct
0.0000 0.0000 0.0000
0.7500 0.2500 0.5000
0.1936 0.6250 0.0686
0.3750 0.4436 0.5686
0.5564 0.1250 0.9314
0.8750 0.8064 0.4314
0.2500 0.7500 0.5000
0.5000 0.5000 0.0000
```

Summary:
Space group: I-42d (122)
Fermi-level density of states: 2.2 states/eV/cell
Excess energy over the best structure of this formula in the dataset: 0 meV per atom
Raw formation energy: 3.214 eV/f.u.
Calculated density: 7.16 Mg/m³
Electronic total energy: -4.16 eV per atom

5.
The following is a GGA-PBE calculation of a relaxed Tl3B2S4 crystal, from the Alexandria database.

Cell and atoms, written as POSCAR:
```
Tl3B2S4
1.0
6.4726 -1.5673 0.0000
6.4726 1.5673 0.0000
-2.1865 0.0000 11.2111
Tl B S
3 2 4
Direct
0.0000 0.0000 0.0000
0.1271 0.1271 0.4989
0.8729 0.8729 0.5011
0.3109 0.3109 0.7957
0.6891 0.6891 0.2043
0.2559 0.2559 0.1638
0.4275 0.4275 0.7357
0.5725 0.5725 0.2643
0.7441 0.7441 0.8362
```

Summary:
Space group: C2/m (12)
Fermi-level density of states: 2.5 states/eV/cell
Excess energy over the best structure of this formula in the dataset: 76 meV per atom
Raw formation energy: -2.043 eV/f.u.
Calculated density: 5.57 Mg/m³
Electronic total energy: -4.33 eV per atom

6.
The following is a GGA-PBE calculation of a relaxed UTl2BS5 crystal, from the Alexandria database.

Cell and atoms, written as POSCAR:
```
UTl2BS5
1.0
1.9357 -8.7819 0.0000
1.9357 8.7819 0.0000
0.0000 0.0000 14.1912
U Tl B S
2 4 2 10
Direct
0.1833 0.8167 0.5000
0.8167 0.1833 0.0000
0.1138 0.8862 0.8134
0.1298 0.8702 0.1448
0.8702 0.1298 0.6448
0.8862 0.1138 0.3134
0.4271 0.5729 0.8707
0.5729 0.4271 0.3707
0.0412 0.9588 0.4549
0.3173 0.6827 0.1238
0.3209 0.6791 0.8643
0.3233 0.6767 0.4840
0.4849 0.5151 0.7672
0.5151 0.4849 0.2672
0.6767 0.3233 0.9840
0.6791 0.3209 0.3643
0.6827 0.3173 0.6238
0.9588 0.0412 0.9549
```

Summary:
Space group: Cmc2_1 (36)
Fermi-level density of states: 8.6 states/eV/cell
Raw formation energy: -5.766 eV/f.u.
Calculated density: 5.63 Mg/m³
Electronic total energy: -5.46 eV per atom

7.
The following is a GGA-PBE calculation of a relaxed TlV2BS crystal, from the Alexandria database.

Cell and atoms, written as POSCAR:
```
TlV2BS
1.0
4.2904 0.0000 0.0000
0.0000 4.2904 0.0000
0.0000 0.0000 4.1526
Tl V B S
1 2 1 1
Direct
0.0000 0.0000 0.0000
0.0000 0.5000 0.5000
0.5000 0.0000 0.5000
0.5000 0.5000 0.5000
0.5000 0.5000 0.0000
```

Summary:
Space group: P4/mmm (123)
Fermi-level density of states: 5.5 states/eV/cell
Raw formation energy: 3.287 eV/f.u.
Calculated density: 7.58 Mg/m³
Electronic total energy: -5.62 eV per atom

8.
The following is a GGA-PBE calculation of a relaxed TlBW2S crystal, from the Alexandria database.

Cell and atoms, written as POSCAR:
```
TlBW2S
1.0
4.3451 0.0000 0.0000
0.0000 4.3451 0.0000
0.0000 0.0000 4.4722
Tl B W S
1 1 2 1
Direct
0.0000 0.0000 0.0000
0.0000 0.0000 0.5000
0.0000 0.5000 0.5000
0.5000 0.0000 0.5000
0.5000 0.5000 0.0000
```

Summary:
Space group: P4/mmm (123)
Fermi-level density of states: 4.9 states/eV/cell
Raw formation energy: 6.463 eV/f.u.
Calculated density: 12.09 Mg/m³
Electronic total energy: -6.52 eV per atom

9.
The following is a GGA-PBE calculation of a relaxed YTl2BS4 crystal, from the Alexandria database.

Cell and atoms, written as POSCAR:
```
YTl2BS4
1.0
5.5618 -6.6976 0.0000
5.5618 6.6976 0.0000
-4.8470 0.0000 6.3416
Y Tl B S
2 4 2 8
Direct
0.0000 0.0000 0.0000
0.0000 0.0000 0.5000
0.0000 0.5000 0.0000
0.5000 0.0000 0.5000
0.5000 0.5000 0.0000
0.5000 0.5000 0.5000
0.0000 0.5000 0.5000
0.5000 0.0000 0.0000
0.1232 0.6539 0.4744
0.1773 0.2257 0.9279
0.2257 0.1773 0.4279
0.3461 0.8768 0.0256
0.6539 0.1232 0.9744
0.7743 0.8227 0.5721
0.8227 0.7743 0.0721
0.8768 0.3461 0.5256
```

Summary:
Space group: C2/c (15)
Raw formation energy: -5.483 eV/f.u.
Calculated density: 4.48 Mg/m³
Electronic total energy: -4.98 eV per atom

10.
The following is a GGA-PBE calculation of a relaxed ZrTl2BS crystal, from the Alexandria database.

Cell and atoms, written as POSCAR:
```
ZrTl2BS
1.0
5.8351 0.0000 0.0000
0.0000 5.8351 0.0000
0.0000 0.0000 4.8151
Zr Tl B S
1 2 1 1
Direct
0.0000 0.0000 0.0000
0.0000 0.5000 0.0000
0.5000 0.0000 0.0000
0.5000 0.5000 0.5000
0.0000 0.0000 0.5000
```

Summary:
Space group: P4/mmm (123)
Fermi-level density of states: 4.1 states/eV/cell
Raw formation energy: 4.818 eV/f.u.
Calculated density: 5.50 Mg/m³
Electronic total energy: -3.85 eV per atom

11.
The following is a GGA-PBE calculation of a relaxed Tm2BS4 crystal, from the Alexandria database.

Cell and atoms, written as POSCAR:
```
Tm2BS4
1.0
-3.2428 3.2428 4.0816
3.2428 -3.2428 4.0816
3.2428 3.2428 -4.0816
Tm B S
2 1 4
Direct
0.2500 0.7500 0.5000
0.7500 0.2500 0.5000
0.0000 0.0000 0.0000
0.0714 0.7000 0.0000
0.3000 0.3000 0.3714
0.7000 0.0714 0.0000
0.9286 0.9286 0.6286
```

Summary:
Space group: I-42m (121)
Fermi-level density of states: 4.0 states/eV/cell
Raw formation energy: -7.959 eV/f.u.
Calculated density: 4.61 Mg/m³
Electronic total energy: -5.73 eV per atom

12.
The following is a GGA-PBE calculation of a relaxed TmBS2 crystal, from the Alexandria database.

Cell and atoms, written as POSCAR:
```
TmBS2
1.0
1.6353 0.9441 7.6196
-1.6353 0.9441 7.6196
0.0000 -1.8883 7.6196
Tm B S
1 1 2
Direct
0.0000 0.0000 0.0000
0.5000 0.5000 0.5000
0.1162 0.1162 0.1162
0.8838 0.8838 0.8838
```

Summary:
Space group: R-3m (166)
Fermi-level density of states: 1.8 states/eV/cell
Raw formation energy: 0.370 eV/f.u.
Calculated density: 5.74 Mg/m³
Electronic total energy: -4.76 eV per atom